(1)
GeSbMoW after structural relaxation. Source: Alexandria, functional GGA-PBE.

Lattice parameters (Å, degrees): 3.249 4.547 4.603 90.00 90.00 90.00
Fractional coordinates of all 4 atoms:
Ge1 0.000 0.000 0.000
Sb1 0.000 0.500 0.500
Mo1 0.500 0.000 0.500
W1 0.500 0.500 0.000

Results
uncorrected formation energy: 0.417 eV per atom
space group: Pmmm
ΔE to the lowest computed polymorph: 26.1 kJ per mole of atoms

(2)
Nd2Tc2BC2 after structural relaxation. Source: Alexandria, functional GGA-PBE.

Lattice parameters (Å, degrees): 11.202 3.515 6.849 90.00 124.54 90.00
Fractional coordinates of all 14 atoms:
Nd1 0.066 0.000 0.341
Nd2 0.434 0.500 0.659
Nd3 0.566 0.500 0.341
Nd4 0.934 0.000 0.659
Tc1 0.207 0.500 0.098
Tc2 0.293 0.000 0.902
Tc3 0.707 0.000 0.098
Tc4 0.793 0.500 0.902
B1 0.000 0.500 0.000
B2 0.500 0.000 0.000
C1 0.182 0.500 0.756
C2 0.318 0.000 0.244
C3 0.682 0.000 0.756
C4 0.818 0.500 0.244

Results
space group: C2/m
ΔH_f (0 K): -109 meV/atom

(3)
CePaZnRu after structural relaxation. Source: Alexandria, functional GGA-PBE.

Lattice parameters (Å, degrees): 6.769 6.769 6.769 90.00 90.00 90.00
Fractional coordinates of all 16 atoms:
Ce1 0.000 0.000 0.000
Ce2 0.000 0.500 0.500
Ce3 0.500 0.000 0.500
Ce4 0.500 0.500 0.000
Pa1 0.250 0.250 0.250
Pa2 0.250 0.750 0.750
Pa3 0.750 0.250 0.750
Pa4 0.750 0.750 0.250
Zn1 0.250 0.250 0.750
Zn2 0.250 0.750 0.250
Zn3 0.750 0.250 0.250
Zn4 0.750 0.750 0.750
Ru1 0.000 0.000 0.500
Ru2 0.000 0.500 0.000
Ru3 0.500 0.000 0.000
Ru4 0.500 0.500 0.500

Results
space group: F-43m
ΔH_f (0 K): -240 meV/atom